First-principles (GGA+U) data for an optimized crystal structure of NaAlNiO3, as listed in Alexandria via LeMat-Bulk.

The calculation puts the size of the total moment at 2.00 μB per formula unit. As for the total energy: -5.680 eV per atom. The density of states at the Fermi level comes out at 0.00 states/eV per atom.

The space group is Cmcm (No. 63) and the conventional cell measures 5.296, 10.129 and 5.183 Å, with angles of 90.00, 90.00 and 90.00 degrees. The distinct sites, in fractional coordinates, are Na at (0.000, 0.249, 0.250), Al at (0.000, 0.436, 0.750), Ni at (0.000, 0.070, 0.750), O at (0.000, 0.264, 0.750) and O at (0.231, 0.500, 0.000).